## a
A PBEsol-optimized structure of Co2AsP. Source: Alexandria, functional SCAN.

## Properties
Volume = 11.78 Å³ per atom
Density of states at the Fermi level = 3.17 states/eV per cell

Cell and atoms, written as POSCAR:
```
Co2AsP
1.0
3.759 0.000 0.000
1.880 3.686 0.079
1.880 1.351 3.430
As Co P
1 2 1
Direct
0.000 0.500 0.500 As
0.219 0.781 0.781 Co
0.781 0.219 0.219 Co
0.500 0.000 0.000 P
```

=====

## b
A PBEsol-optimized structure of Co2AsP. Source: Alexandria, functional SCAN.

## Properties
Volume = 12.76 Å³ per atom
Density of states at the Fermi level = 3.30 states/eV per cell

Cell and atoms, written as POSCAR:
```
Co2AsP
1.0
-2.961 0.811 0.634
0.565 -3.935 -0.081
1.195 1.013 4.287
As Co P
1 2 1
Direct
0.748 0.496 0.219 As
0.009 0.018 0.997 Co
0.222 0.443 0.614 Co
0.521 0.043 0.671 P
```

=====

Of them, the most stable is b and the least stable is a.

=====

## a
A PBEsol-optimized structure of CoAsRu. Source: Alexandria, functional SCAN.

## Properties
Volume = 13.24 Å³ per atom
Density of states at the Fermi level = 3.58 states/eV per cell

Cell and atoms, written as POSCAR:
```
CoAsRu
1.0
-2.105 -0.669 -1.673
1.790 -2.062 0.470
-2.902 -0.265 5.105
Ru As Co
1 1 1
Direct
0.663 0.663 0.327 Ru
0.994 0.994 0.987 As
0.343 0.343 0.686 Co
```

=====

## b
A PBEsol-optimized structure of CoAsRu. Source: Alexandria, functional SCAN.

## Properties
Volume = 14.22 Å³ per atom
Density of states at the Fermi level = 2.19 states/eV per cell

Cell and atoms, written as POSCAR:
```
CoAsRu
1.0
-3.489 0.061 -1.789
-3.277 -0.580 2.074
-2.474 2.977 0.629
Ru As Co
1 1 1
Direct
0.000 0.000 0.000 Ru
0.500 0.500 0.500 As
0.250 0.250 0.250 Co
```

=====

Of them, the most stable is b and the least stable is a.

=====

## a
A PBEsol-optimized structure of CoAsS. Source: Alexandria, functional SCAN.

## Properties
Volume = 13.84 Å³ per atom

Cell and atoms, written as POSCAR:
```
CoAsS
1.0
5.496 0.000 0.000
0.000 5.496 0.000
0.000 0.000 5.496
Co As S
4 4 4
Direct
0.509 0.491 0.991 Co
0.491 0.991 0.509 Co
0.009 0.009 0.009 Co
0.991 0.509 0.491 Co
0.623 0.877 0.123 As
0.123 0.623 0.877 As
0.377 0.377 0.377 As
0.877 0.123 0.623 As
0.380 0.120 0.880 S
0.880 0.380 0.120 S
0.120 0.880 0.380 S
0.620 0.620 0.620 S
```

=====

## b
A PBEsol-optimized structure of CoAsS. Source: Alexandria, functional SCAN.

## Properties
Volume = 13.85 Å³ per atom

Cell and atoms, written as POSCAR:
```
CoAsS
1.0
-1.471 -5.147 -1.232
4.943 -0.876 -2.243
1.907 -1.711 4.871
Co As S
4 4 4
Direct
0.501 0.492 0.238 Co
0.501 0.992 0.762 Co
0.001 0.008 0.238 Co
0.001 0.508 0.762 Co
0.382 0.878 0.371 As
0.882 0.622 0.371 As
0.382 0.378 0.629 As
0.882 0.122 0.629 As
0.624 0.120 0.128 S
0.124 0.380 0.128 S
0.124 0.880 0.872 S
0.624 0.620 0.872 S
```

=====

## c
A PBEsol-optimized structure of CoAsS. Source: Alexandria, functional SCAN.

## Properties
Volume = 14.27 Å³ per atom
Density of states at the Fermi level = 0.03 states/eV per cell

Cell and atoms, written as POSCAR:
```
CoAsS
1.0
3.438 0.000 0.000
0.000 4.531 0.000
0.000 0.000 5.493
As Co S
2 2 2
Direct
0.000 0.039 0.371 As
0.500 0.961 0.871 As
0.500 0.735 0.497 Co
0.000 0.265 0.997 Co
0.500 0.547 0.126 S
0.000 0.453 0.626 S
```

=====

Of them, the most stable is c and the least stable is a.

=====

## a
A PBEsol-optimized structure of ScCoAs2Se. Source: Alexandria, functional SCAN.

## Properties
Volume = 19.25 Å³ per atom
Density of states at the Fermi level = 3.44 states/eV per cell

Cell and atoms, written as POSCAR:
```
ScCoAs2Se
1.0
-2.407 3.217 1.761
-0.712 -2.476 3.551
4.103 1.896 2.144
Sc As Co Se
1 2 1 1
Direct
0.500 0.500 0.500 Sc
0.000 0.500 0.000 As
0.500 0.000 0.000 As
0.000 0.000 0.000 Co
0.000 0.000 0.500 Se
```

=====

## b
A PBEsol-optimized structure of ScCoAs2Se. Source: Alexandria, functional SCAN.

## Properties
Volume = 24.57 Å³ per atom
Density of states at the Fermi level = 4.18 states/eV per cell

Cell and atoms, written as POSCAR:
```
ScCoAs2Se
1.0
4.955 0.000 0.000
0.000 4.980 0.000
0.000 0.000 4.980
Sc As Co Se
1 2 1 1
Direct
0.000 0.000 0.000 Sc
0.000 0.000 0.500 As
0.000 0.500 0.000 As
0.500 0.500 0.500 Co
0.500 0.000 0.000 Se
```

=====

Of them, the most stable is a and the least stable is b.

=====

## a
A PBEsol-optimized structure of TlCoAs2. Source: Alexandria, functional SCAN.

## Properties
Volume = 17.66 Å³ per atom
Density of states at the Fermi level = 1.12 states/eV per cell

Cell and atoms, written as POSCAR:
```
TlCoAs2
1.0
4.640 0.000 0.000
2.320 4.018 0.000
2.320 1.339 3.788
Tl Co As
1 1 2
Direct
0.500 0.500 0.500 Tl
0.000 0.000 0.000 Co
0.250 0.250 0.250 As
0.750 0.750 0.750 As
```

=====

## b
A PBEsol-optimized structure of TlCoAs2. Source: Alexandria, functional SCAN.

## Properties
Volume = 18.97 Å³ per atom
Density of states at the Fermi level = 1.98 states/eV per cell

Cell and atoms, written as POSCAR:
```
TlCoAs2
1.0
-2.071 0.226 -2.061
1.769 -1.390 -1.930
-3.169 -7.105 4.488
Tl Co As
1 1 2
Direct
0.687 0.187 0.373 Tl
0.450 0.450 0.899 Co
0.019 0.019 0.037 As
0.345 0.845 0.691 As
```

=====

Of them, the most stable is b and the least stable is a.

=====

## a
A PBEsol-optimized structure of Tl2CoAs. Source: Alexandria, functional SCAN.

## Properties
Volume = 19.72 Å³ per atom
Density of states at the Fermi level = 1.64 states/eV per cell

Cell and atoms, written as POSCAR:
```
Tl2CoAs
1.0
-3.284 -0.685 1.110
0.656 -4.954 -1.116
2.823 2.112 4.031
Tl Co As
2 1 1
Direct
0.727 0.727 0.454 Tl
0.273 0.273 0.546 Tl
0.000 0.500 0.000 Co
0.500 0.000 0.000 As
```

=====

## b
A PBEsol-optimized structure of Tl2CoAs. Source: Alexandria, functional SCAN.

## Properties
Volume = 20.59 Å³ per atom
Density of states at the Fermi level = 1.41 states/eV per cell

Cell and atoms, written as POSCAR:
```
Tl2CoAs
1.0
3.339 0.000 0.000
0.000 4.578 -0.026
0.000 -1.859 5.399
Tl Co As
2 1 1
Direct
0.000 0.941 0.233 Tl
0.000 0.059 0.767 Tl
0.500 0.500 0.000 Co
0.500 0.500 0.500 As
```

=====

## c
A PBEsol-optimized structure of Tl2CoAs. Source: Alexandria, functional SCAN.

## Properties
Volume = 20.27 Å³ per atom
Density of states at the Fermi level = 1.74 states/eV per cell

Cell and atoms, written as POSCAR:
```
Tl2CoAs
1.0
-3.025 -0.814 -2.345
-0.922 -3.281 2.329
-2.693 3.879 2.128
Tl Co As
2 1 1
Direct
0.000 0.000 0.000 Tl
0.500 0.000 0.500 Tl
0.000 0.500 0.500 Co
0.500 0.500 0.000 As
```

=====

Of them, the most stable is b and the least stable is a.

=====

## a
A PBEsol-optimized structure of Cr3AsO. Source: Alexandria, functional SCAN.

## Properties
Volume = 10.99 Å³ per atom
Density of states at the Fermi level = 3.31 states/eV per cell

Cell and atoms, written as POSCAR:
```
Cr3AsO
1.0
-3.659 -0.960 -0.383
1.027 -3.535 -0.954
-0.115 -1.021 3.661
Cr As O
3 1 1
Direct
0.000 0.500 0.000 Cr
0.000 0.000 0.500 Cr
0.500 0.000 0.000 Cr
0.500 0.500 0.500 As
0.000 0.000 0.000 O
```

=====

## b
A PBEsol-optimized structure of Cr3AsO. Source: Alexandria, functional SCAN.

## Properties
Volume = 20.49 Å³ per atom
Density of states at the Fermi level = 1.92 states/eV per cell

Cell and atoms, written as POSCAR:
```
Cr3AsO
1.0
4.679 0.000 0.000
0.000 4.679 0.000
0.000 0.000 4.679
Cr As O
3 1 1
Direct
0.000 0.500 0.000 Cr
0.000 0.000 0.500 Cr
0.500 0.000 0.000 Cr
0.000 0.000 0.000 As
0.500 0.500 0.500 O
```

=====

Of them, the most stable is a and the least stable is b.

=====

## a
A PBEsol-optimized structure of CrAs2Os. Source: Alexandria, functional SCAN.

## Properties
Volume = 14.71 Å³ per atom
Density of states at the Fermi level = 2.62 states/eV per cell

Cell and atoms, written as POSCAR:
```
CrAs2Os
1.0
-1.533 -0.051 -2.553
2.584 -2.626 -3.237
-1.326 -4.644 -0.848
As Cr Os
2 1 1
Direct
0.244 0.756 0.756 As
0.756 0.244 0.244 As
0.500 0.000 0.000 Cr
0.000 0.500 0.500 Os
```

=====

## b
A PBEsol-optimized structure of CrAs2Os. Source: Alexandria, functional SCAN.

## Properties
Volume = 20.50 Å³ per atom
Density of states at the Fermi level = 4.27 states/eV per cell

Cell and atoms, written as POSCAR:
```
CrAs2Os
1.0
5.299 0.000 0.000
0.000 5.299 0.000
-2.649 -2.649 5.841
Cr As Os
2 4 2
Direct
0.750 0.250 0.500 Cr
0.500 0.500 0.000 Cr
0.883 0.375 0.250 As
0.367 0.875 0.250 As
0.625 0.633 0.750 As
0.125 0.117 0.750 As
0.250 0.750 0.500 Os
0.000 0.000 0.000 Os
```

=====

## c
A PBEsol-optimized structure of CrAs2Os. Source: Alexandria, functional SCAN.

## Properties
Volume = 13.64 Å³ per atom
Density of states at the Fermi level = 1.80 states/eV per cell

Cell and atoms, written as POSCAR:
```
CrAs2Os
1.0
-1.337 -1.183 -2.421
2.012 -3.689 0.692
-3.241 -1.312 2.431
As Cr Os
2 1 1
Direct
0.000 0.000 0.500 As
0.000 0.500 0.000 As
0.500 0.500 0.500 Cr
0.500 0.000 0.000 Os
```

=====

Of them, the most stable is c and the least stable is a.

=====

## a
A PBEsol-optimized structure of CrReAs2. Source: Alexandria, functional SCAN.

## Properties
Volume = 14.41 Å³ per atom
Density of states at the Fermi level = 2.59 states/eV per cell

Cell and atoms, written as POSCAR:
```
CrReAs2
1.0
3.934 0.000 0.000
0.000 3.934 0.000
-1.967 -1.967 3.724
As Cr Re
2 1 1
Direct
0.000 0.000 0.000 As
0.750 0.250 0.500 As
0.500 0.500 0.000 Cr
0.250 0.750 0.500 Re
```

=====

## b
A PBEsol-optimized structure of CrReAs2. Source: Alexandria, functional SCAN.

## Properties
Volume = 14.77 Å³ per atom
Density of states at the Fermi level = 2.47 states/eV per cell

Cell and atoms, written as POSCAR:
```
CrReAs2
1.0
4.371 0.000 0.000
2.186 3.786 0.000
2.186 1.262 3.569
As Cr Re
2 1 1
Direct
0.000 0.000 0.000 As
0.750 0.750 0.750 As
0.500 0.500 0.500 Cr
0.250 0.250 0.250 Re
```

=====

Of them, the most stable is a and the least stable is b.

=====

## a
A PBEsol-optimized structure of CrAs2Ru. Source: Alexandria, functional SCAN.

## Properties
Volume = 15.72 Å³ per atom
Density of states at the Fermi level = 3.90 states/eV per cell

Cell and atoms, written as POSCAR:
```
CrAs2Ru
1.0
-0.542 -1.828 1.965
-0.623 -0.775 -2.551
8.533 -3.595 -0.992
As Cr Ru
2 1 1
Direct
0.000 0.000 0.048 As
0.500 0.500 0.696 As
0.000 0.000 0.487 Cr
0.500 0.500 0.268 Ru
```

=====

## b
A PBEsol-optimized structure of CrAs2Ru. Source: Alexandria, functional SCAN.

## Properties
Volume = 15.16 Å³ per atom
Density of states at the Fermi level = 1.86 states/eV per cell

Cell and atoms, written as POSCAR:
```
CrAs2Ru
1.0
2.830 0.000 0.000
0.000 2.830 0.000
0.000 0.000 7.570
As Cr Ru
2 1 1
Direct
0.000 0.000 0.944 As
0.500 0.500 0.309 As
0.000 0.000 0.517 Cr
0.500 0.500 0.731 Ru
```

=====

## c
A PBEsol-optimized structure of CrAs2Ru. Source: Alexandria, functional SCAN.

## Properties
Volume = 14.33 Å³ per atom
Density of states at the Fermi level = 2.44 states/eV per cell

Cell and atoms, written as POSCAR:
```
CrAs2Ru
1.0
-0.065 -0.644 -2.897
3.307 -1.648 0.292
-2.350 -4.529 1.059
As Cr Ru
2 1 1
Direct
0.000 0.000 0.948 As
0.500 0.500 0.309 As
0.000 0.000 0.451 Cr
0.500 0.500 0.793 Ru
```

=====

Of them, the most stable is c and the least stable is a.

=====

## a
A PBEsol-optimized structure of Cr2SiAs. Source: Alexandria, functional SCAN.

## Properties
Volume = 12.23 Å³ per atom
Density of states at the Fermi level = 3.85 states/eV per cell

Cell and atoms, written as POSCAR:
```
Cr2SiAs
1.0
-2.151 1.213 1.850
1.857 -1.471 3.123
2.323 3.523 -2.182
As Cr Si
1 2 1
Direct
0.258 0.758 0.517 As
0.999 0.999 0.997 Cr
0.754 0.254 0.508 Cr
0.489 0.489 0.978 Si
```

=====

## b
A PBEsol-optimized structure of Cr2SiAs. Source: Alexandria, functional SCAN.

## Properties
Volume = 12.27 Å³ per atom
Density of states at the Fermi level = 2.72 states/eV per cell

Cell and atoms, written as POSCAR:
```
Cr2SiAs
1.0
4.108 0.000 0.000
0.000 2.906 0.000
0.000 0.000 4.112
As Cr Si
1 2 1
Direct
0.000 0.500 0.500 As
0.000 0.000 0.000 Cr
0.500 0.000 0.500 Cr
0.500 0.500 0.000 Si
```

=====

Of them, the most stable is b and the least stable is a.

=====

## a
A PBEsol-optimized structure of TlCrAs2. Source: Alexandria, functional SCAN.

## Properties
Volume = 18.36 Å³ per atom
Density of states at the Fermi level = 2.50 states/eV per cell

Cell and atoms, written as POSCAR:
```
TlCrAs2
1.0
-1.953 1.335 -2.048
-2.732 -1.367 -0.675
-5.342 4.359 5.546
As Cr Tl
2 1 1
Direct
0.008 0.008 0.977 As
0.764 0.764 0.708 As
0.489 0.489 0.534 Cr
0.240 0.240 0.280 Tl
```

=====

## b
A PBEsol-optimized structure of TlCrAs2. Source: Alexandria, functional SCAN.

## Properties
Volume = 19.89 Å³ per atom
Density of states at the Fermi level = 2.10 states/eV per cell

Cell and atoms, written as POSCAR:
```
TlCrAs2
1.0
3.004 0.000 0.000
0.000 3.242 0.000
-1.502 -1.621 8.168
As Cr Tl
2 1 1
Direct
0.019 0.019 0.037 As
0.842 0.342 0.684 As
0.454 0.454 0.908 Cr
0.185 0.685 0.371 Tl
```

=====

Of them, the most stable is b and the least stable is a.